(1)
# TlHgOs3, optimized geometry, DFT PBE
# ΔH_f (0 K): 2993 meV per atom
# Polymorph energy (0 for the lowest one): 0.0000 eV per atom
# Total DFT energy (no corrections): -4.279 eV/atom
# Total magnetization: 7.12 μB per formula unit
# Density of states at the Fermi level: 7.8 states/eV/cell
data_TlHgOs3
_chemical_formula_sum 'Tl1 Hg1 Os3'
_cell_length_a 5.0355
_cell_length_b 5.0355
_cell_length_c 5.0355
_cell_angle_alpha 90.00
_cell_angle_beta 90.00
_cell_angle_gamma 90.00
_space_group_name_H-M_alt 'P m -3 m'
_space_group_IT_number 221
_space_group_name_Hall '-P 4 2 3'
loop_
_atom_site_label
_atom_site_type_symbol
_atom_site_fract_x
_atom_site_fract_y
_atom_site_fract_z
Tl1 Tl 0.0000 0.0000 0.0000
Hg1 Hg 0.5000 0.5000 0.5000
Os1 Os 0.0000 0.5000 0.5000

***

(2)
# TlHg2Os, optimized geometry, DFT PBE
# ΔH_f (0 K): 707 meV per atom
# Polymorph energy (0 for the lowest one): 0.1026 eV per atom
# Total DFT energy (no corrections): -2.842 eV/atom
# Total magnetization: 0.00 μB per formula unit
# Density of states at the Fermi level: 9.3 states/eV/cell
data_TlHg2Os
_chemical_formula_sum 'Tl3 Hg6 Os3'
_cell_length_a 2.9825
_cell_length_b 2.9825
_cell_length_c 34.7489
_cell_angle_alpha 90.00
_cell_angle_beta 90.00
_cell_angle_gamma 120.00
_space_group_name_H-M_alt 'R 3 m'
_space_group_IT_number 160
_space_group_name_Hall 'R 3 -2"'
loop_
_atom_site_label
_atom_site_type_symbol
_atom_site_fract_x
_atom_site_fract_y
_atom_site_fract_z
Tl1 Tl 0.0000 0.0000 0.0000
Hg1 Hg 0.0000 0.0000 0.5257
Hg2 Hg 0.0000 0.0000 0.7704
Os1 Os 0.0000 0.0000 0.2618

***

(3)
# TlHg2Os, optimized geometry, DFT PBE
# ΔH_f (0 K): 756 meV per atom
# Polymorph energy (0 for the lowest one): 0.1513 eV per atom
# Total DFT energy (no corrections): -2.794 eV/atom
# Total magnetization: 0.81 μB per formula unit
# Density of states at the Fermi level: 5.2 states/eV/cell
data_TlHg2Os
_chemical_formula_sum 'Tl2 Hg4 Os2'
_cell_length_a 3.0375
_cell_length_b 5.1933
_cell_length_c 11.1752
_cell_angle_alpha 90.00
_cell_angle_beta 90.00
_cell_angle_gamma 90.00
_space_group_name_H-M_alt 'C m m m'
_space_group_IT_number 65
_space_group_name_Hall '-C 2 2'
loop_
_atom_site_label
_atom_site_type_symbol
_atom_site_fract_x
_atom_site_fract_y
_atom_site_fract_z
Tl1 Tl 0.0000 0.0000 0.0000
Hg1 Hg 0.0000 0.5000 0.2831
Os1 Os 0.0000 0.0000 0.5000

***

(4)
# TlHg2Os, optimized geometry, DFT PBE
# ΔH_f (0 K): 1049 meV per atom
# Polymorph energy (0 for the lowest one): 0.4443 eV per atom
# Total DFT energy (no corrections): -2.501 eV/atom
# Total magnetization: 0.58 μB per formula unit
# Density of states at the Fermi level: 15.6 states/eV/cell
data_TlHg2Os
_chemical_formula_sum 'Tl4 Hg8 Os4'
_cell_length_a 6.9725
_cell_length_b 6.9725
_cell_length_c 6.9725
_cell_angle_alpha 90.00
_cell_angle_beta 90.00
_cell_angle_gamma 90.00
_space_group_name_H-M_alt 'F m -3 m'
_space_group_IT_number 225
_space_group_name_Hall '-F 4 2 3'
loop_
_atom_site_label
_atom_site_type_symbol
_atom_site_fract_x
_atom_site_fract_y
_atom_site_fract_z
Tl1 Tl 0.0000 0.0000 0.0000
Hg1 Hg 0.2500 0.2500 0.2500
Os1 Os 0.0000 0.0000 0.5000

***

Which value of total DFT energy (no corrections) does entry 4 give? -2.501 eV/atom

***

Number 1 is which compound? TlHgOs3

***

What is the ΔH_f (0 K) in the first record? 2993 meV per atom